Entry from the Alexandria database: a relaxed BaLa3Ir crystal (PBE).

The calculation puts the total energy at -25.5 eV per formula unit. The energy relative to the elements comes out at 0.01 eV per atom.

The space group is P6_3/mmc (No. 194) and the conventional cell measures 4.7043, 4.7043 and 23.6153 Å, with angles of 90.00, 90.00 and 120.00 degrees. The asymmetric unit holds Ba at (0.0000, 0.0000, 0.0000), La at (0.0000, 0.0000, 0.2500), La at (0.3333, 0.6667, 0.1298) and Ir at (0.3333, 0.6667, 0.2500).

Entry from the Alexandria database: a relaxed LiAsSe4 crystal (PBE).

The calculation puts the total energy at -21.7 eV per formula unit. The value obtained for the uncorrected formation energy is -1.242 eV/f.u.

The space group is P2/c (No. 13) and the conventional cell measures 6.7091, 7.0000 and 8.5902 Å, with angles of 90.00, 110.66 and 90.00 degrees. The asymmetric unit holds Li at (0.0000, 0.0947, 0.2500), As at (0.5000, 0.2378, 0.7500), Se at (0.2175, 0.0474, 0.5754) and Se at (0.3376, 0.4406, 0.9012).

Entry from the Alexandria database: a relaxed NbRuSeN2 crystal (PBE).

The calculation puts the total energy at -35.1 eV per formula unit. The value obtained for the uncorrected formation energy is 4.415 eV/f.u.

The space group is P4/mmm (No. 123) and the conventional cell measures 3.8380, 3.8380 and 5.1974 Å, with angles of 90.00, 90.00 and 90.00 degrees. The asymmetric unit holds Nb at (0.0000, 0.0000, 0.0000), Ru at (0.5000, 0.5000, 0.5000), Se at (0.5000, 0.5000, 0.0000) and N at (0.0000, 0.5000, 0.5000).

Entry from the Alexandria database: a relaxed MgSbAs2 crystal (PBE).

The calculation puts the total energy at -14.7 eV per formula unit. The value obtained for the uncorrected formation energy is 0.365 eV/f.u.

The space group is Cmmm (No. 65) and the conventional cell measures 4.1328, 5.2507 and 8.0465 Å, with angles of 90.00, 90.00 and 90.00 degrees. The asymmetric unit holds Mg at (0.0000, 0.0000, 0.0000), Sb at (0.0000, 0.0000, 0.5000) and As at (0.0000, 0.5000, 0.2295).

Entry from the Alexandria database: a relaxed Th3AlGe2 crystal (PBE).

The calculation puts the total energy at -38.6 eV per formula unit. The energy relative to the elements comes out at -0.57 eV per atom.

The space group is Pnma (No. 62) and the conventional cell measures 12.1990, 4.2611 and 11.8624 Å, with angles of 90.00, 90.00 and 90.00 degrees. The asymmetric unit holds Th at (0.0525, 0.2500, 0.1206), Th at (0.1189, 0.7500, 0.5649), Th at (0.2064, 0.2500, 0.7891), Al at (0.1314, 0.2500, 0.3727), Ge at (0.0255, 0.7500, 0.3084) and Ge at (0.1931, 0.7500, 0.9980).

Entry from the Alexandria database: a relaxed ZnTeSe crystal (PBE).

The calculation puts the total energy at -8.1 eV per formula unit. The value obtained for the uncorrected formation energy is -0.217 eV/f.u.

The space group is P3m1 (No. 156) and the conventional cell measures 3.9601, 3.9601 and 5.1514 Å, with angles of 90.00, 90.00 and 120.00 degrees. The asymmetric unit holds Zn at (0.0000, 0.0000, 0.0000), Te at (0.6667, 0.3333, 0.6781) and Se at (0.3333, 0.6667, 0.2499).

Entry from the Alexandria database: a relaxed KPtSe crystal (PBE).

The calculation puts the total energy at -10.4 eV per formula unit. The value obtained for the uncorrected formation energy is 0.185 eV/f.u.

The space group is F-43m (No. 216) and the conventional cell measures 6.6870, 6.6870 and 6.6870 Å, with angles of 90.00, 90.00 and 90.00 degrees. The asymmetric unit holds K at (0.0000, 0.0000, 0.0000), Pt at (0.2500, 0.2500, 0.2500) and Se at (0.0000, 0.0000, 0.5000).

Entry from the Alexandria database: a relaxed Ca3W crystal (PBE).

The calculation puts the total energy at -15.6 eV per formula unit. The energy relative to the elements comes out at 0.84 eV per atom.

The space group is C2/m (No. 12) and the conventional cell measures 11.1940, 3.1938 and 6.2683 Å, with angles of 90.00, 98.82 and 90.00 degrees. The asymmetric unit holds Ca at (0.0000, 0.0000, 0.0000), Ca at (0.2312, 0.0000, 0.7205) and W at (0.0000, 0.5000, 0.5000).

Entry from the Alexandria database: a relaxed CeAl12Co4 crystal (PBE).

The calculation puts the total energy at -81.5 eV per formula unit. The energy relative to the elements comes out at -0.13 eV per atom.

The space group is Im-3m (No. 229) and the conventional cell measures 8.9633, 8.9633 and 8.9633 Å, with angles of 90.00, 90.00 and 90.00 degrees. The asymmetric unit holds Ce at (0.0000, 0.0000, 0.0000), Al at (0.0000, 0.2600, 0.2600) and Co at (0.2500, 0.2500, 0.2500).

Entry from the Alexandria database: a relaxed ErLuBeCu crystal (PBE).

The calculation puts the total energy at -17.3 eV per formula unit. The energy relative to the elements comes out at -0.10 eV per atom.

The space group is F-43m (No. 216) and the conventional cell measures 6.7700, 6.7700 and 6.7700 Å, with angles of 90.00, 90.00 and 90.00 degrees. The asymmetric unit holds Er at (0.0000, 0.0000, 0.0000), Lu at (0.0000, 0.0000, 0.5000), Be at (0.2500, 0.2500, 0.7500) and Cu at (0.2500, 0.2500, 0.2500).

Entry from the Alexandria database: a relaxed K2PmSe2O6 crystal (PBE).

The calculation puts the total energy at -60.8 eV per formula unit. The value obtained for the uncorrected formation energy is -17.164 eV/f.u.

The space group is C2/m (No. 12) and the conventional cell measures 9.4125, 6.2824 and 7.3432 Å, with angles of 90.00, 112.70 and 90.00 degrees. The asymmetric unit holds K at (0.1983, 0.0000, 0.1409), Pm at (0.0000, 0.0000, 0.5000), Se at (0.0744, 0.5000, 0.2362), O at (0.0265, 0.2532, 0.7526) and O at (0.2351, 0.5000, 0.4553).

Entry from the Alexandria database: a relaxed Li3Np2ScS6 crystal (PBE).

The calculation puts the total energy at -80.5 eV per formula unit. The value obtained for the uncorrected formation energy is -17.798 eV/f.u.

The space group is C2/m (No. 12) and the conventional cell measures 6.6726, 11.5667 and 6.5186 Å, with angles of 90.00, 109.88 and 90.00 degrees. The asymmetric unit holds Li at (0.0000, 0.0000, 0.0000), Li at (0.0000, 0.3384, 0.0000), Np at (0.0000, 0.1672, 0.5000), Sc at (0.0000, 0.5000, 0.5000), S at (0.2399, 0.5000, 0.2530) and S at (0.2440, 0.3392, 0.7498).

Calculated volume readings, ordered: 45.26 31.46 15.31 21.83 25.69 23.32 24.92 27.68 21.18 19.39 18.21 19.71 Å³/atom